DFT (PBE) results for a geometry-optimized H2PtPbI6O19 structure.

**Electronic total energy**: -4.593 eV per atom
**Size of the total moment**: 0.00 μB/cell
**SG**: P1
**D(E_F)**: 0.00 states/eV/f.u.

Geometry as POSCAR:
```
H2PtPbI6O19
1.0
-1.159 4.834 5.961
-6.473 -4.123 0.646
4.586 -4.803 3.839
H Pt Pb I O
2 1 1 6 19
Cartesian
-0.864 -2.675 6.287
-1.922 -1.482 6.423
-0.858 -1.127 2.830
-2.630 -3.390 8.478
-2.166 -4.329 2.317
1.957 -1.153 4.876
-3.226 0.988 4.170
-5.727 -2.074 3.394
1.260 -5.383 4.184
0.245 1.870 6.860
-0.971 -3.109 3.202
0.078 -0.869 4.601
-2.634 -0.784 3.736
-1.819 -2.468 6.453
-4.838 -2.380 1.839
2.152 -4.025 3.352
-0.331 2.434 5.230
-0.766 0.870 2.502
-1.825 -1.506 1.099
0.926 -1.432 1.949
-2.329 0.299 6.744
-3.913 -3.964 4.408
0.873 -3.301 6.309
-2.221 -5.472 6.760
0.022 -1.789 8.818
-4.495 -1.649 7.526
-1.464 -5.648 3.350
1.789 -0.245 6.452
-4.794 0.269 4.735
```